[1]
The following is a GGA-PBE calculation of a relaxed structure of PrDyCuGe, from Alexandria.

Geometry as extended XYZ:
```
4
Lattice="-0.661 -4.210 2.768 2.516 -0.585 4.376 -2.500 0.230 4.418" Properties=species:S:1:pos:R:3 pbc="T T T"
Cu -0.484 -3.424 8.672
Dy 0.000 0.000 0.000
Pr -0.323 -2.282 5.781
Ge -0.161 -1.141 2.891
```

- Magnetic moment: 0.0000 μB per atom
- Uncorrected energy: -19.934 eV for the cell shown

---

[2]
The following is a GGA-PBE calculation of a relaxed structure of Rb2UCl4, from Alexandria.

Geometry as extended XYZ:
```
7
Lattice="5.490 0.000 0.000 0.000 5.490 0.000 2.745 2.745 8.428" Properties=species:S:1:pos:R:3 pbc="T T T"
Cl 0.000 2.745 0.000
Cl 2.745 2.745 5.622
Cl 5.490 5.490 2.806
Cl 2.745 0.000 0.000
U 0.000 0.000 0.000
Rb 2.745 2.745 2.357
Rb 5.490 5.490 6.071
```

- Magnetic moment: 0.5616 μB per atom
- Uncorrected energy: -31.327 eV for the cell shown
- ΔE_f (raw): -1.531 eV per atom